Run one
{
  "formula": "InSbAu2",
  "functional": "PBEsol",
  "state": "relaxed",
  "spacegroup": "Pm",
  "cell": [[-2.402, -3.193, -0.618], [0.820, 0.122, -3.815], [5.713, -1.268, 1.188]],
  "species": ["Sb", "Au", "Au", "In"],
  "fractional_positions": [[0.264, 0.875, 0.459], [0.913, 0.875, 0.940], [0.836, 0.375, 0.561], [0.487, 0.375, 0.039]]
}

***

Run two
{
  "formula": "InSbAu2",
  "functional": "PBEsol",
  "state": "relaxed",
  "spacegroup": "C2/m",
  "cell": [[4.224, 0.287, -0.212], [2.361, 3.514, -0.212], [1.887, 1.089, 6.086]],
  "species": ["Sb", "Au", "Au", "In"],
  "fractional_positions": [[0.000, 0.000, 0.000], [0.250, 0.250, 0.252], [0.751, 0.751, 0.748], [0.500, 0.500, 0.500]]
}

***

Run three
{
  "formula": "InSbAu2",
  "functional": "PBEsol",
  "state": "relaxed",
  "spacegroup": "I4/mmm",
  "cell": [[4.537, 0.000, 0.000], [-2.269, 4.593, -0.025], [0.000, 2.262, 3.933]],
  "species": ["Au", "Au", "In", "Sb"],
  "fractional_positions": [[0.250, 0.500, 0.250], [0.750, 0.500, 0.750], [0.500, 0.000, 0.500], [0.000, 0.000, 0.000]]
}

***

Run four
{
  "formula": "InSbAu2",
  "functional": "PBEsol",
  "state": "relaxed",
  "spacegroup": "Pmmm",
  "cell": [[-3.804, -0.909, -0.826], [-0.027, -2.584, 2.969], [-1.742, 4.077, 3.533]],
  "species": ["Sb", "Au", "Au", "In"],
  "fractional_positions": [[0.500, 0.500, 0.500], [0.000, 0.000, 0.500], [0.500, 0.500, 0.000], [0.000, 0.000, 0.000]]
}

***

run one is preferred energetically. Next in line: 3.2 kJ/mol of atoms higher.

***

Run one
{
  "formula": "InTeAu2",
  "functional": "PBEsol",
  "state": "relaxed",
  "spacegroup": "Cmmm",
  "cell": [[-2.316, -0.806, 1.611], [0.866, -5.340, -1.426], [3.330, -0.687, 4.443]],
  "species": ["Au", "Au", "In", "Te"],
  "fractional_positions": [[0.000, 0.000, 0.500], [0.000, 0.500, 0.000], [0.000, 0.000, 0.000], [0.000, 0.500, 0.500]]
}

***

Run two
{
  "formula": "InTeAu2",
  "functional": "PBEsol",
  "state": "relaxed",
  "spacegroup": "P4/mmm",
  "cell": [[3.987, 0.000, 0.000], [0.000, 3.987, 0.000], [0.000, 0.000, 5.722]],
  "species": ["Te", "Au", "Au", "In"],
  "fractional_positions": [[0.500, 0.500, 0.500], [0.000, 0.000, 0.500], [0.500, 0.500, 0.000], [0.000, 0.000, 0.000]]
}

***

Run three
{
  "formula": "InTeAu2",
  "functional": "PBEsol",
  "state": "relaxed",
  "spacegroup": "R-3m",
  "cell": [[4.126, 0.000, 0.000], [2.063, 3.573, 0.000], [2.063, 1.191, 6.107]],
  "species": ["Te", "Au", "Au", "In"],
  "fractional_positions": [[0.000, 0.000, 0.000], [0.247, 0.247, 0.260], [0.753, 0.753, 0.740], [0.500, 0.500, 0.500]]
}

***

run two is preferred energetically. Next in line: 0.7 kJ/mol of atoms higher.

***

Run one
{
  "formula": "InTeAu2",
  "functional": "PBEsol",
  "state": "relaxed",
  "spacegroup": "P4mm",
  "cell": [[-2.999, -0.191, 1.100], [-0.953, -1.204, -2.807], [1.522, -7.752, 2.808]],
  "species": ["Au", "Au", "In", "Te"],
  "fractional_positions": [[0.000, 0.000, 0.027], [0.500, 0.500, 0.238], [0.000, 0.000, 0.455], [0.500, 0.500, 0.780]]
}

***

Run two
{
  "formula": "InTeAu2",
  "functional": "PBEsol",
  "state": "relaxed",
  "spacegroup": "P4/mmm",
  "cell": [[-0.987, 1.756, -3.249], [0.914, -3.143, -1.976], [-5.449, -1.959, 0.596]],
  "species": ["Au", "Au", "In", "Te"],
  "fractional_positions": [[0.000, 0.000, 0.757], [0.000, 0.000, 0.243], [0.500, 0.500, 0.000], [0.500, 0.500, 0.500]]
}

***

run two is preferred energetically. Next in line: 4.2 kJ/mol of atoms higher.

***

Run one
{
  "formula": "Tl2InAu2",
  "functional": "PBEsol",
  "state": "relaxed",
  "spacegroup": "P4/mbm",
  "cell": [[-1.232, -3.822, -1.527], [2.136, -3.198, 6.278], [-6.722, 1.041, 2.817]],
  "species": ["Tl", "Tl", "Tl", "Tl", "Au", "Au", "Au", "Au", "In", "In"],
  "fractional_positions": [[0.500, 0.166, 0.666], [0.500, 0.666, 0.834], [0.500, 0.834, 0.334], [0.500, 0.334, 0.166], [0.000, 0.363, 0.863], [0.000, 0.863, 0.637], [0.000, 0.637, 0.137], [0.000, 0.137, 0.363], [0.000, 0.000, 0.000], [0.000, 0.500, 0.500]]
}

***

Run two
{
  "formula": "Tl2InAu2",
  "functional": "PBEsol",
  "state": "relaxed",
  "spacegroup": "I4/mmm",
  "cell": [[3.812, 0.000, 0.000], [0.000, 3.812, 0.000], [-1.906, -1.906, 8.389]],
  "species": ["Tl", "Tl", "Au", "Au", "In"],
  "fractional_positions": [[0.389, 0.389, 0.778], [0.611, 0.611, 0.222], [0.250, 0.750, 0.500], [0.750, 0.250, 0.500], [0.000, 0.000, 0.000]]
}

***

run one is preferred energetically. Next in line: 8.8 kJ/mol of atoms higher.